No. 1
Here is LiCeY4S8 after structural relaxation from the Alexandria database. Energies are from PBE-GGA.

* E: -6.70 eV/atom
* V: 26.607 Å³ per atom
* SG: R3m, No. 160
* ρ: 3.384 g/cm³
* ΔE_f (raw): -1.94 eV per atom

Cell: 8.130 8.130 8.130 Å, 59.14 59.14 59.14°
Positions (direct):
Li 0.000 0.000 0.000
Ce 0.628 0.628 0.628
Y 0.111 0.629 0.629
Y 0.251 0.251 0.251
Y 0.629 0.111 0.629
Y 0.629 0.629 0.111
S 0.378 0.378 0.852
S 0.378 0.852 0.378
S 0.383 0.383 0.383
S 0.394 0.872 0.872
S 0.852 0.378 0.378
S 0.867 0.867 0.867
S 0.872 0.394 0.872
S 0.872 0.872 0.394

No. 2
Here is Li3CeY2S6 after structural relaxation from the Alexandria database. Energies are from PBE-GGA.

* E: -5.92 eV/atom
* V: 21.034 Å³ per atom
* SG: C2/m, No. 12
* ρ: 3.494 g/cm³
* ΔE_f (raw): -1.80 eV per atom

Cell: 6.868 6.868 6.588 Å, 99.95 99.95 120.03°
Positions (direct):
Li 0.000 0.000 0.000
Li 0.329 0.671 0.000
Li 0.671 0.329 0.000
Ce 0.500 0.500 0.500
Y 0.166 0.834 0.500
Y 0.834 0.166 0.500
S 0.076 0.416 0.248
S 0.244 0.244 0.754
S 0.416 0.076 0.248
S 0.584 0.924 0.752
S 0.756 0.756 0.246
S 0.924 0.584 0.752

No. 3
Here is LiCe2YS6 after structural relaxation from the Alexandria database. Energies are from PBE-GGA.

* E: -6.21 eV/atom
* V: 25.311 Å³ per atom
* SG: R3, No. 146
* ρ: 3.730 g/cm³
* ΔE_f (raw): -1.71 eV per atom

Cell: 7.317 7.317 7.317 Å, 56.27 56.27 56.27°
Positions (direct):
Li 0.000 0.000 0.000
Ce 0.299 0.299 0.299
Ce 0.800 0.800 0.800
Y 0.499 0.499 0.499
S 0.096 0.401 0.695
S 0.199 0.896 0.598
S 0.401 0.695 0.096
S 0.598 0.199 0.896
S 0.695 0.096 0.401
S 0.896 0.598 0.199

No. 4
Here is Li3Ce3YS8 after structural relaxation from the Alexandria database. Energies are from PBE-GGA.

* E: -5.97 eV/atom
* V: 23.143 Å³ per atom
* SG: R-3m, No. 166
* ρ: 3.763 g/cm³
* ΔE_f (raw): -1.77 eV per atom

Cell: 7.693 7.693 7.693 Å, 63.54 63.54 63.54°
Positions (direct):
Li 0.000 0.500 0.500
Li 0.500 0.000 0.500
Li 0.500 0.500 0.000
Ce 0.000 0.000 0.500
Ce 0.000 0.500 0.000
Ce 0.500 0.000 0.000
Y 0.500 0.500 0.500
S 0.252 0.252 0.252
S 0.255 0.255 0.745
S 0.255 0.745 0.255
S 0.255 0.745 0.745
S 0.745 0.255 0.255
S 0.745 0.255 0.745
S 0.745 0.745 0.255
S 0.748 0.748 0.748

No. 5
Here is LiCe2ZnS5 after structural relaxation from the Alexandria database. Energies are from PBE-GGA.

* E: -5.50 eV/atom
* V: 20.001 Å³ per atom
* SG: Cmc2_1, No. 36
* ρ: 4.732 g/cm³
* ΔE_f (raw): -1.54 eV per atom

Cell: 8.395 8.395 11.282 Å, 90.00 90.00 153.08°
Positions (direct):
Li 0.206 0.794 0.500
Li 0.794 0.206 0.000
Ce 0.118 0.882 0.178
Ce 0.134 0.866 0.794
Ce 0.866 0.134 0.294
Ce 0.882 0.118 0.678
Zn 0.438 0.562 0.955
Zn 0.562 0.438 0.455
S 0.045 0.955 0.559
S 0.292 0.708 0.157
S 0.312 0.688 0.840
S 0.357 0.643 0.492
S 0.497 0.503 0.270
S 0.503 0.497 0.770
S 0.643 0.357 0.992
S 0.688 0.312 0.340
S 0.708 0.292 0.657
S 0.955 0.045 0.059

No. 6
Here is Li3Ce3ZnS8 after structural relaxation from the Alexandria database. Energies are from PBE-GGA.

* E: -5.33 eV/atom
* V: 21.926 Å³ per atom
* SG: R-3m, No. 166
* ρ: 3.853 g/cm³
* ΔE_f (raw): -1.47 eV per atom

Cell: 7.610 7.610 7.610 Å, 62.50 62.50 62.50°
Positions (direct):
Li 0.000 0.500 0.500
Li 0.500 0.000 0.500
Li 0.500 0.500 0.000
Ce 0.000 0.000 0.500
Ce 0.000 0.500 0.000
Ce 0.500 0.000 0.000
Zn 0.500 0.500 0.500
S 0.253 0.253 0.253
S 0.261 0.261 0.738
S 0.261 0.738 0.261
S 0.262 0.739 0.739
S 0.738 0.261 0.261
S 0.739 0.262 0.739
S 0.739 0.739 0.262
S 0.747 0.747 0.747